VASP calculation (PBE) on a relaxed structure of Th2AlGa3Ni4.

Lattice parameters (Å, degrees): 4.161 4.161 9.917 90.00 90.00 90.00
Fractional coordinates of all 10 atoms:
Th: 0.500 0.000 0.245
Th: 0.000 0.500 0.755
Al: 0.500 0.500 0.500
Ga: 0.000 0.000 0.500
Ga: 0.500 0.000 0.876
Ga: 0.000 0.500 0.124
Ni: 0.500 0.500 0.000
Ni: 0.000 0.000 0.000
Ni: 0.500 0.000 0.634
Ni: 0.000 0.500 0.366

DOS at the Fermi energy = 10.11 states/eV/cell
calculated volume = 171.7 Å³ per cell
E = -0.2083 Ha/atom
total moment = 0.00 Bohr magnetons per cell
E_form = -0.590 eV per atom